First-principles (SCAN) data for In3CoCl at its PBEsol-relaxed geometry, as listed in the Alexandria database.

Output
For the relative energy among the computed polymorphs, the calculation gives 0 meV/atom. The raw formation energy is -0.274 eV per atom. As for the magnetic moment: 0.00 Bohr magnetons per cell.

Cell lengths 4.891, 4.891, 4.891 Å; angles 90.00, 90.00, 90.00 degrees
Fractional coordinates of all 5 atoms:
In: 0.000 0.500 0.000
In: 0.000 0.000 0.500
In: 0.500 0.000 0.000
Co: 0.000 0.000 0.000
Cl: 0.500 0.500 0.500

=====

First-principles (SCAN) data for CoTe2Rh at its PBEsol-relaxed geometry, as listed in the Alexandria database.

Output
The raw formation energy is -0.074 eV per atom. As for the magnetic moment: 0.00 Bohr magnetons per cell.

Cell lengths 3.450, 3.450, 6.584 Å; angles 90.00, 90.00, 90.00 degrees
Fractional coordinates of all 4 atoms:
Co: 0.000 0.000 0.510
Te: 0.000 0.000 0.892
Te: 0.500 0.500 0.358
Rh: 0.500 0.500 0.741